Entry 1:
# NaLaTl2Mo

NaLaTl2Mo after structural relaxation (PBE, Alexandria via LeMat-Bulk).

Cell: 5.283 5.283 5.248 Å, 90.00 90.00 90.00°
Atoms (fractional coordinates):
Na 0.000 0.000 0.000
La 0.500 0.500 0.500
Tl 0.000 0.500 0.000
Tl 0.500 0.000 0.000
Mo 0.000 0.000 0.500

Results
Excess energy over the best structure of this formula in the dataset ... 3.26 eV/f.u.
Formation energy from the elements ... 904.8 meV/atom

=====

Entry 2:
# LaAl3

LaAl3 after structural relaxation (PBE, Alexandria via LeMat-Bulk).

Cell: 5.682 5.682 3.030 Å, 90.00 90.00 114.10°
Atoms (fractional coordinates):
La 0.000 0.000 0.000
Al 0.000 0.500 0.500
Al 0.500 0.000 0.500
Al 0.500 0.500 0.000

Results
Formation energy from the elements ... -42.8 meV/atom

=====

Entry 3:
# CaZn6Pd4

CaZn6Pd4 after structural relaxation (PBE, Alexandria via LeMat-Bulk).

Cell: 6.676 6.676 6.676 Å, 120.39 120.39 89.33°
Atoms (fractional coordinates):
Ca 0.000 0.000 0.000
Zn 0.000 0.500 0.500
Zn 0.119 0.119 0.633
Zn 0.486 0.486 0.367
Zn 0.500 0.000 0.500
Zn 0.514 0.881 0.000
Zn 0.881 0.514 0.000
Pd 0.242 0.596 0.000
Pd 0.404 0.404 0.646
Pd 0.596 0.242 0.000
Pd 0.758 0.758 0.354

Results
Formation energy from the elements ... -342.6 meV/atom

=====

Entry 4:
# ScGe2H2

ScGe2H2 after structural relaxation (PBE, Alexandria via LeMat-Bulk).

Cell: 5.717 5.717 4.089 Å, 90.00 90.00 90.00°
Atoms (fractional coordinates):
Sc 0.000 0.000 0.000
Sc 0.500 0.500 0.000
Ge 0.170 0.330 0.500
Ge 0.330 0.830 0.500
Ge 0.670 0.170 0.500
Ge 0.830 0.670 0.500
H 0.196 0.304 0.000
H 0.304 0.804 0.000
H 0.696 0.196 0.000
H 0.804 0.696 0.000

Results
Excess energy over the best structure of this formula in the dataset ... 0.00 eV/f.u.

=====

Entry 5:
# MgCoAsSe2

MgCoAsSe2 after structural relaxation (PBE, Alexandria via LeMat-Bulk).

Cell: 4.998 4.998 4.899 Å, 90.00 90.00 90.00°
Atoms (fractional coordinates):
Mg 0.000 0.000 0.000
Co 0.500 0.500 0.500
As 0.000 0.000 0.500
Se 0.000 0.500 0.000
Se 0.500 0.000 0.000

Results
Formation energy (no corrections) ... 4.2 eV per formula unit
Excess energy over the best structure of this formula in the dataset ... 3.89 eV/f.u.

=====

Entry 6:
# RuRh3Cl

RuRh3Cl after structural relaxation (PBE, Alexandria via LeMat-Bulk).

Cell: 4.715 4.715 4.715 Å, 90.00 90.00 90.00°
Atoms (fractional coordinates):
Ru 0.000 0.000 0.000
Rh 0.000 0.000 0.500
Rh 0.000 0.500 0.000
Rh 0.500 0.000 0.000
Cl 0.500 0.500 0.500

Results
Formation energy (no corrections) ... 7.0 eV per formula unit
Excess energy over the best structure of this formula in the dataset ... 1.41 eV/f.u.

=====

Entry 7:
# Ga5Pt2

Ga5Pt2 after structural relaxation (PBE, Alexandria via LeMat-Bulk).

Cell: 6.951 6.951 6.612 Å, 96.81 96.81 52.23°
Atoms (fractional coordinates):
Ga 0.104 0.896 0.750
Ga 0.185 0.255 0.350
Ga 0.255 0.185 0.850
Ga 0.291 0.525 0.048
Ga 0.475 0.709 0.452
Ga 0.525 0.291 0.548
Ga 0.709 0.475 0.952
Ga 0.745 0.815 0.150
Ga 0.815 0.745 0.650
Ga 0.896 0.104 0.250
Pt 0.120 0.668 0.399
Pt 0.332 0.880 0.101
Pt 0.668 0.120 0.899
Pt 0.880 0.332 0.601

Results
Formation energy from the elements ... -452.6 meV/atom

=====

Entry 8:
# ReB

ReB after structural relaxation (PBE, Alexandria via LeMat-Bulk).

Cell: 5.834 5.834 5.834 Å, 90.00 90.00 90.00°
Atoms (fractional coordinates):
Re 0.000 0.250 0.500
Re 0.000 0.750 0.500
Re 0.250 0.500 0.000
Re 0.500 0.000 0.250
Re 0.500 0.000 0.750
Re 0.750 0.500 0.000
B 0.000 0.500 0.250
B 0.000 0.500 0.750
B 0.250 0.000 0.500
B 0.500 0.250 0.000
B 0.500 0.750 0.000
B 0.750 0.000 0.500

Results
Formation energy from the elements ... 929.9 meV/atom

=====

no.,Fermi-level density of states (states/eV per atom)
1,0.58
2,0.31
3,0.28
4,0.38
5,1.31
6,1.57
7,0.24
8,1.04